[1]
An optimized crystal structure of Sm2SnO. Source: the Alexandria database, functional GGA-PBE.

Formation energy from raw total energies in meV per atom: -1283
Size of the total moment in μB/atom: 0.0000
Volume in Å³/f.u.: 81.4
Excess energy over the best structure of this formula in the dataset in meV/atom: 567
Space group: No. 123
Calculated total energy in eV/atom: -5.883

The structure in CIF format:
```
data_Sm2SnO
_space_group_name_H-M_alt 'P 1'
_space_group_IT_number 1
_cell_length_a 3.2100
_cell_length_b 3.2100
_cell_length_c 7.9015
_cell_angle_alpha 90.00
_cell_angle_beta 90.00
_cell_angle_gamma 90.00
loop_
_space_group_symop_operation_xyz
'x,y,z'
loop_
_atom_site_label
_atom_site_type_symbol
_atom_site_fract_x
_atom_site_fract_y
_atom_site_fract_z
_atom_site_occupancy
Sm1 Sm 0.0000 0.0000 0.1983 1
Sm2 Sm 0.0000 0.0000 0.8017 1
Sn1 Sn 0.5000 0.5000 0.5000 1
O1 O 0.5000 0.5000 0.0000 1
```


[2]
An optimized crystal structure of Ac3TbTl12. Source: the Alexandria database, functional GGA-PBE.

Formation energy in meV/atom: -288
Size of the total moment in μB/atom: 0.0000
Volume in Å³/f.u.: 486.3
Space group: No. 123
Calculated total energy in eV/atom: -3.123

The structure in CIF format:
```
data_Ac3TbTl12
_space_group_name_H-M_alt 'P 1'
_space_group_IT_number 1
_cell_length_a 4.9491
_cell_length_b 4.9491
_cell_length_c 19.8526
_cell_angle_alpha 90.00
_cell_angle_beta 90.00
_cell_angle_gamma 90.00
loop_
_space_group_symop_operation_xyz
'x,y,z'
loop_
_atom_site_label
_atom_site_type_symbol
_atom_site_fract_x
_atom_site_fract_y
_atom_site_fract_z
_atom_site_occupancy
Ac1 Ac 0.0000 0.0000 0.0000 1
Ac2 Ac 0.0000 0.0000 0.2581 1
Ac3 Ac 0.0000 0.0000 0.7419 1
Tb1 Tb 0.0000 0.0000 0.5000 1
Tl1 Tl 0.0000 0.5000 0.1285 1
Tl2 Tl 0.0000 0.5000 0.3846 1
Tl3 Tl 0.0000 0.5000 0.6154 1
Tl4 Tl 0.0000 0.5000 0.8715 1
Tl5 Tl 0.5000 0.0000 0.1285 1
Tl6 Tl 0.5000 0.0000 0.3846 1
Tl7 Tl 0.5000 0.0000 0.6154 1
Tl8 Tl 0.5000 0.0000 0.8715 1
Tl9 Tl 0.5000 0.5000 0.0000 1
Tl10 Tl 0.5000 0.5000 0.2519 1
Tl11 Tl 0.5000 0.5000 0.5000 1
Tl12 Tl 0.5000 0.5000 0.7481 1
```


[3]
An optimized crystal structure of BeHgSb2. Source: the Alexandria database, functional GGA-PBE.

Formation energy from raw total energies in meV per atom: 460
Size of the total moment in μB/atom: 0.0000
Volume in Å³/f.u.: 97.5
Excess energy over the best structure of this formula in the dataset in meV/atom: 273
Space group: No. 25
Calculated total energy in eV/atom: -2.608

The structure in CIF format:
```
data_BeHgSb2
_space_group_name_H-M_alt 'P 1'
_space_group_IT_number 1
_cell_length_a 3.3492
_cell_length_b 3.9388
_cell_length_c 7.3900
_cell_angle_alpha 90.00
_cell_angle_beta 90.00
_cell_angle_gamma 90.00
loop_
_space_group_symop_operation_xyz
'x,y,z'
loop_
_atom_site_label
_atom_site_type_symbol
_atom_site_fract_x
_atom_site_fract_y
_atom_site_fract_z
_atom_site_occupancy
Be1 Be 0.0000 0.0000 0.0000 1
Hg1 Hg 0.5000 0.5000 0.1937 1
Sb1 Sb 0.0000 0.0000 0.3955 1
Sb2 Sb 0.5000 0.5000 0.8154 1
```